Material: LiTl2V
Method: DFT, PBE-GGA
State: relaxed

a b c (Å): 10.2608 10.2608 10.2608
angles (deg): 154.91 154.91 35.78
Last column: nearest neighbours and their distance in Å.
Sites, in units of the cell vectors:
Li (0.0000, 0.0000, 0.0000)  4 Tl 2.91, 4 V 3.15
Li (0.7500, 0.2500, 0.5000)  4 Tl 2.91, 4 V 3.15
Tl (0.1259, 0.6250, 0.0009)  2 V 2.90, 2 Li 2.91, 4 Tl 3.15-3.16
Tl (0.3750, 0.3759, 0.5009)  2 V 2.90, 2 Li 2.91, 4 Tl 3.15-3.16
Tl (0.6241, 0.1250, 0.9991)  2 V 2.90, 2 Li 2.91, 4 Tl 3.15-3.16
Tl (0.8750, 0.8741, 0.4991)  2 V 2.90, 2 Li 2.91, 4 Tl 3.15-3.16
V (0.2500, 0.7500, 0.5000)  4 Tl 2.90, 4 Li 3.15
V (0.5000, 0.5000, 0.0000)  4 Tl 2.90, 4 Li 3.15

ΔE_f = 0.56 eV/atom